(1)
Here is a relaxed BaCu3Br crystal from Alexandria. Energies are from GGA-PBE.

The structure in CIF format:
```
data_BaCu3Br
_chemical_formula_sum 'Ba1 Cu3 Br1'
_space_group_name_H-M_alt 'P 1'
_space_group_IT_number 1
_space_group_name_Hall 'P 1'
_cell_length_a 5.738
_cell_length_b 5.738
_cell_length_c 5.738
_cell_angle_alpha 90.00
_cell_angle_beta 90.00
_cell_angle_gamma 90.00
loop_
_atom_site_label
_atom_site_fract_x
_atom_site_fract_y
_atom_site_fract_z
Ba1 0.000 0.000 0.000
Cu1 0.000 0.500 0.000
Cu2 0.500 0.000 0.000
Cu3 0.000 0.000 0.500
Br1 0.500 0.500 0.500
```

Results
Density of states at the Fermi level ... 1.307 states/eV per atom
Raw formation energy ... 6.0 eV/f.u.
Energy relative to the lowest polymorph listed for this composition ... 3.358 eV per formula unit
Space-group type ... Pm-3m, No. 221
Size of the total moment ... 0.000 μB/atom

(2)
Here is a relaxed ScMn2Be crystal from Alexandria. Energies are from GGA-PBE.

The structure in CIF format:
```
data_ScMn2Be
_chemical_formula_sum 'Sc1 Mn2 Be1'
_space_group_name_H-M_alt 'P 1'
_space_group_IT_number 1
_space_group_name_Hall 'P 1'
_cell_length_a 2.851
_cell_length_b 2.851
_cell_length_c 6.267
_cell_angle_alpha 90.00
_cell_angle_beta 90.00
_cell_angle_gamma 90.00
loop_
_atom_site_label
_atom_site_fract_x
_atom_site_fract_y
_atom_site_fract_z
Be1 0.500 0.500 0.808
Sc1 0.000 0.000 0.500
Mn1 0.000 0.000 0.994
Mn2 0.500 0.500 0.198
```

Results
Density of states at the Fermi level ... 0.618 states/eV per atom
Energy of formation from the pure elements ... -29.9 meV per atom
Space-group type ... P4mm, No. 99
Size of the total moment ... 0.122 μB/atom

(3)
Here is a relaxed Zn8As crystal from Alexandria. Energies are from GGA-PBE.

The structure in CIF format:
```
data_Zn8As
_chemical_formula_sum 'Zn8 As1'
_space_group_name_H-M_alt 'P 1'
_space_group_IT_number 1
_space_group_name_Hall 'P 1'
_cell_length_a 6.308
_cell_length_b 6.308
_cell_length_c 6.308
_cell_angle_alpha 95.79
_cell_angle_beta 95.79
_cell_angle_gamma 142.98
loop_
_atom_site_label
_atom_site_fract_x
_atom_site_fract_y
_atom_site_fract_z
As1 0.000 0.000 0.000
Zn1 0.672 0.672 0.344
Zn2 0.662 0.000 0.662
Zn3 0.672 0.328 0.000
Zn4 0.338 0.000 0.338
Zn5 0.328 0.672 0.000
Zn6 0.000 0.338 0.338
Zn7 0.328 0.328 0.656
Zn8 0.000 0.662 0.662
```

Results
Density of states at the Fermi level ... 0.319 states/eV per atom
Energy of formation from the pure elements ... 68.1 meV per atom
Space-group type ... I4/mmm, No. 139
Size of the total moment ... 0.000 μB/atom

(4)
Here is a relaxed LaGdTmGa crystal from Alexandria. Energies are from GGA-PBE.

The structure in CIF format:
```
data_LaGdTmGa
_chemical_formula_sum 'La1 Gd1 Tm1 Ga1'
_space_group_name_H-M_alt 'P 1'
_space_group_IT_number 1
_space_group_name_Hall 'P 1'
_cell_length_a 5.413
_cell_length_b 5.413
_cell_length_c 5.413
_cell_angle_alpha 60.00
_cell_angle_beta 60.00
_cell_angle_gamma 60.00
loop_
_atom_site_label
_atom_site_fract_x
_atom_site_fract_y
_atom_site_fract_z
Tm1 0.750 0.750 0.750
Gd1 0.000 0.000 0.000
La1 0.500 0.500 0.500
Ga1 0.250 0.250 0.250
```

Results
Density of states at the Fermi level ... 1.097 states/eV per atom
Energy of formation from the pure elements ... -137.5 meV per atom
Space-group type ... F-43m, No. 216
Size of the total moment ... 2.059 μB/atom

(5)
Here is a relaxed La3Er2Tm4 crystal from Alexandria. Energies are from GGA-PBE.

The structure in CIF format:
```
data_La3Er2Tm4
_chemical_formula_sum 'La6 Er4 Tm8'
_space_group_name_H-M_alt 'P 1'
_space_group_IT_number 1
_space_group_name_Hall 'P 1'
_cell_length_a 6.046
_cell_length_b 11.204
_cell_length_c 11.204
_cell_angle_alpha 63.31
_cell_angle_beta 64.30
_cell_angle_gamma 64.30
loop_
_atom_site_label
_atom_site_fract_x
_atom_site_fract_y
_atom_site_fract_z
Er1 0.925 0.513 0.257
Er2 0.075 0.487 0.743
Er3 0.425 0.257 0.513
Er4 0.575 0.743 0.487
La1 0.752 0.050 0.282
La2 0.250 0.616 0.384
La3 0.248 0.950 0.718
La4 0.748 0.718 0.950
La5 0.750 0.384 0.616
La6 0.252 0.282 0.050
Tm1 0.920 0.848 0.592
Tm2 0.424 0.925 0.179
Tm3 0.576 0.075 0.821
Tm4 0.080 0.152 0.408
Tm5 0.580 0.408 0.152
Tm6 0.420 0.592 0.848
Tm7 0.076 0.821 0.075
Tm8 0.924 0.179 0.925
```

Results
Density of states at the Fermi level ... 1.524 states/eV per atom
Energy of formation from the pure elements ... 112.5 meV per atom
Energy relative to the lowest polymorph listed for this composition ... 0.000 eV per formula unit
Space-group type ... C2/c, No. 15
Size of the total moment ... 0.000 μB/atom

(6)
Here is a relaxed Ba2NaICl crystal from Alexandria. Energies are from GGA-PBE.

The structure in CIF format:
```
data_Ba2NaICl
_chemical_formula_sum 'Ba2 Na1 I1 Cl1'
_space_group_name_H-M_alt 'P 1'
_space_group_IT_number 1
_space_group_name_Hall 'P 1'
_cell_length_a 6.666
_cell_length_b 5.760
_cell_length_c 6.666
_cell_angle_alpha 90.00
_cell_angle_beta 90.00
_cell_angle_gamma 90.00
loop_
_atom_site_label
_atom_site_fract_x
_atom_site_fract_y
_atom_site_fract_z
Cl1 0.500 0.500 0.500
Na1 0.000 0.000 0.000
Ba1 0.000 0.000 0.500
Ba2 0.500 0.000 0.000
I1 0.000 0.500 0.000
```

Results
Density of states at the Fermi level ... 1.049 states/eV per atom
Raw formation energy ... -2.8 eV/f.u.
Space-group type ... P4/mmm, No. 123
Size of the total moment ... 0.000 μB/atom

(7)
Here is a relaxed BaInAu crystal from Alexandria. Energies are from GGA-PBE.

The structure in CIF format:
```
data_BaInAu
_chemical_formula_sum 'Ba1 In1 Au1'
_space_group_name_H-M_alt 'P 1'
_space_group_IT_number 1
_space_group_name_Hall 'P 1'
_cell_length_a 5.459
_cell_length_b 5.459
_cell_length_c 5.459
_cell_angle_alpha 60.00
_cell_angle_beta 60.00
_cell_angle_gamma 60.00
loop_
_atom_site_label
_atom_site_fract_x
_atom_site_fract_y
_atom_site_fract_z
Ba1 0.750 0.750 0.750
Au1 0.500 0.500 0.500
In1 0.000 0.000 0.000
```

Results
Density of states at the Fermi level ... 1.039 states/eV per atom
Energy of formation from the pure elements ... -4.1 meV per atom
Space-group type ... F-43m, No. 216
Size of the total moment ... 0.000 μB/atom

(8)
Here is a relaxed BaTe3As crystal from Alexandria. Energies are from GGA-PBE.

The structure in CIF format:
```
data_BaTe3As
_chemical_formula_sum 'Ba1 Te3 As1'
_space_group_name_H-M_alt 'P 1'
_space_group_IT_number 1
_space_group_name_Hall 'P 1'
_cell_length_a 5.577
_cell_length_b 5.577
_cell_length_c 5.577
_cell_angle_alpha 90.00
_cell_angle_beta 90.00
_cell_angle_gamma 90.00
loop_
_atom_site_label
_atom_site_fract_x
_atom_site_fract_y
_atom_site_fract_z
Te1 0.000 0.000 0.500
Te2 0.000 0.500 0.000
Te3 0.500 0.000 0.000
Ba1 0.500 0.500 0.500
As1 0.000 0.000 0.000
```

Results
Density of states at the Fermi level ... 0.626 states/eV per atom
Raw formation energy ... -2.7 eV/f.u.
Space-group type ... Pm-3m, No. 221
Size of the total moment ... 0.000 μB/atom

(9)
Here is a relaxed ZrAl2W crystal from Alexandria. Energies are from GGA-PBE.

The structure in CIF format:
```
data_ZrAl2W
_chemical_formula_sum 'Zr1 Al2 W1'
_space_group_name_H-M_alt 'P 1'
_space_group_IT_number 1
_space_group_name_Hall 'P 1'
_cell_length_a 2.845
_cell_length_b 2.845
_cell_length_c 8.622
_cell_angle_alpha 90.00
_cell_angle_beta 90.00
_cell_angle_gamma 90.00
loop_
_atom_site_label
_atom_site_fract_x
_atom_site_fract_y
_atom_site_fract_z
Al1 0.500 0.500 0.251
Al2 0.000 0.000 0.017
W1 0.000 0.000 0.475
Zr1 0.500 0.500 0.757
```

Results
Density of states at the Fermi level ... 0.584 states/eV per atom
Energy of formation from the pure elements ... 48.5 meV per atom
Energy relative to the lowest polymorph listed for this composition ... 0.930 eV per formula unit
Space-group type ... P4mm, No. 99
Size of the total moment ... 0.000 μB/atom

(10)
Here is a relaxed Ni4BAs crystal from Alexandria. Energies are from GGA-PBE.

The structure in CIF format:
```
data_Ni4BAs
_chemical_formula_sum 'Ni8 B2 As2'
_space_group_name_H-M_alt 'P 1'
_space_group_IT_number 1
_space_group_name_Hall 'P 1'
_cell_length_a 5.269
_cell_length_b 5.269
_cell_length_c 6.257
_cell_angle_alpha 114.96
_cell_angle_beta 114.97
_cell_angle_gamma 89.90
loop_
_atom_site_label
_atom_site_fract_x
_atom_site_fract_y
_atom_site_fract_z
Ni1 0.723 0.500 0.000
Ni2 0.500 0.223 0.500
Ni3 0.723 0.000 0.000
Ni4 0.277 0.000 0.000
Ni5 0.000 0.223 0.500
Ni6 0.000 0.777 0.500
Ni7 0.500 0.777 0.500
Ni8 0.277 0.500 0.000
B1 0.625 0.875 0.250
B2 0.375 0.125 0.750
As1 0.125 0.375 0.250
As2 0.875 0.625 0.750
```

Results
Density of states at the Fermi level ... 0.644 states/eV per atom
Energy of formation from the pure elements ... -155.0 meV per atom
Energy relative to the lowest polymorph listed for this composition ... 0.000 eV per formula unit
Space-group type ... Fddd, No. 70
Size of the total moment ... 0.000 μB/atom

(11)
Here is a relaxed Gd3Ir crystal from Alexandria. Energies are from GGA-PBE.

The structure in CIF format:
```
data_Gd3Ir
_chemical_formula_sum 'Gd3 Ir1'
_space_group_name_H-M_alt 'P 1'
_space_group_IT_number 1
_space_group_name_Hall 'P 1'
_cell_length_a 3.665
_cell_length_b 5.296
_cell_length_c 6.374
_cell_angle_alpha 114.55
_cell_angle_beta 106.71
_cell_angle_gamma 90.00
loop_
_atom_site_label
_atom_site_fract_x
_atom_site_fract_y
_atom_site_fract_z
Gd1 0.696 0.863 0.393
Gd2 0.500 0.167 0.000
Gd3 0.304 0.471 0.607
Ir1 0.000 0.665 0.000
```

Results
Density of states at the Fermi level ... 0.958 states/eV per atom
Energy of formation from the pure elements ... -430.0 meV per atom
Space-group type ... Imm2, No. 44
Size of the total moment ... 5.439 μB/atom

(12)
Here is a relaxed Rb2PdF crystal from Alexandria. Energies are from GGA-PBE.

The structure in CIF format:
```
data_Rb2PdF
_chemical_formula_sum 'Rb4 Pd2 F2'
_space_group_name_H-M_alt 'P 1'
_space_group_IT_number 1
_space_group_name_Hall 'P 1'
_cell_length_a 7.786
_cell_length_b 7.786
_cell_length_c 7.181
_cell_angle_alpha 57.17
_cell_angle_beta 57.17
_cell_angle_gamma 90.00
loop_
_atom_site_label
_atom_site_fract_x
_atom_site_fract_y
_atom_site_fract_z
Rb1 0.555 0.125 0.250
Rb2 0.195 0.625 0.250
Rb3 0.875 0.805 0.750
Rb4 0.375 0.445 0.750
Pd1 0.750 0.250 0.500
Pd2 0.000 0.000 0.000
F1 0.500 0.500 0.000
F2 0.250 0.750 0.500
```

Results
Density of states at the Fermi level ... 0.137 states/eV per atom
Raw formation energy ... -3.8 eV/f.u.
Energy relative to the lowest polymorph listed for this composition ... 0.000 eV per formula unit
Space-group type ... I-42d, No. 122
Size of the total moment ... 0.000 μB/atom